Computed, not measured: crystalline LaFeNF2 at its relaxed geometry at the GGA+U level of DFT.

Calculated values
Size of the total moment = 4.000 μB per formula unit
Total energy = -6.40 eV/atom
Offset from the most stable computed form = 0 meV/atom
N(E_F) = 0.032 states/eV per cell

```
data_LaFeNF2
_chemical_formula_sum 'La1 Fe1 N1 F2'
_cell_length_a 4.0224
_cell_length_b 4.0224
_cell_length_c 4.2684
_cell_angle_alpha 90.00
_cell_angle_beta 90.00
_cell_angle_gamma 90.00
_space_group_name_H-M_alt 'P 4/m m m'
_space_group_IT_number 123
_space_group_name_Hall '-P 4 2'
loop_
_atom_site_label
_atom_site_fract_x
_atom_site_fract_y
_atom_site_fract_z
La1 0.0000 0.0000 0.0000
Fe1 0.5000 0.5000 0.5000
N1 0.5000 0.5000 0.0000
F1 0.0000 0.5000 0.5000
```